Record 1
VASP calculation (PBE) on TaCr2B after structural relaxation.

Output
E_tot, eV/atom: -9.213
Formation energy, kJ/mol of atoms: 22

a b c (Å): 5.247 5.247 5.247
angles (deg): 100.54 100.54 129.35
Positions (direct):
1 Ta 0.000 0.000 0.000
2 Ta 0.750 0.250 0.500
3 Cr 0.214 0.625 0.089
4 Cr 0.375 0.464 0.589
5 Cr 0.536 0.125 0.911
6 Cr 0.875 0.786 0.411
7 B 0.250 0.750 0.500
8 B 0.500 0.500 0.000

Record 2
VASP calculation (PBE) on CePuMgPd after structural relaxation.

Output
E_tot, eV/atom: -7.004
Formation energy, kJ/mol of atoms: -23

a b c (Å): 4.972 4.972 4.972
angles (deg): 60.00 60.00 60.00
Positions (direct):
1 Ce 0.000 0.000 0.000
2 Pu 0.750 0.750 0.750
3 Mg 0.500 0.500 0.500
4 Pd 0.250 0.250 0.250

Record 3
VASP calculation (PBE) on Ho4InTe5 after structural relaxation.

Output
E_tot, eV/atom: -4.605
E_form (uncorrected), eV per atom: -0.93

a b c (Å): 9.228 9.764 7.721
angles (deg): 90.00 90.00 90.00
Positions (direct):
1 Ho 0.010 0.250 0.090
2 Ho 0.250 0.028 0.509
3 Ho 0.250 0.472 0.509
4 Ho 0.490 0.250 0.090
5 Ho 0.510 0.750 0.910
6 Ho 0.750 0.528 0.491
7 Ho 0.750 0.972 0.491
8 Ho 0.990 0.750 0.910
9 In 0.250 0.250 0.797
10 In 0.750 0.750 0.203
11 Te 0.028 0.547 0.236
12 Te 0.028 0.953 0.236
13 Te 0.250 0.750 0.673
14 Te 0.472 0.547 0.236
15 Te 0.472 0.953 0.236
16 Te 0.528 0.047 0.764
17 Te 0.528 0.453 0.764
18 Te 0.750 0.250 0.327
19 Te 0.972 0.047 0.764
20 Te 0.972 0.453 0.764

Record 4
VASP calculation (PBE) on Pm2Nd4Y5 after structural relaxation.

Output
E_tot, eV/atom: -5.418
Formation energy, kJ/mol of atoms: 11

a b c (Å): 6.786 6.786 9.290
angles (deg): 103.98 103.98 67.86
Positions (direct):
1 Pm 0.143 0.143 0.126
2 Pm 0.857 0.857 0.874
3 Nd 0.316 0.316 0.502
4 Nd 0.324 0.324 0.875
5 Nd 0.676 0.676 0.125
6 Nd 0.684 0.684 0.498
7 Y 0.000 0.000 0.500
8 Y 0.212 0.651 0.220
9 Y 0.349 0.788 0.780
10 Y 0.651 0.212 0.220
11 Y 0.788 0.349 0.780

Record 5
VASP calculation (PBE) on CdNi2SbTe after structural relaxation.

Output
E_tot, eV/atom: -3.303
E_form (uncorrected), eV per atom: 0.65

a b c (Å): 4.634 4.634 6.129
angles (deg): 90.00 90.00 90.00
Positions (direct):
1 Cd 0.000 0.000 0.000
2 Ni 0.000 0.500 0.500
3 Ni 0.500 0.000 0.500
4 Sb 0.500 0.500 0.000
5 Te 0.500 0.500 0.500

Record 6
VASP calculation (PBE) on RbTiPCl2 after structural relaxation.

Output
E_tot, eV/atom: -2.913
E_form (uncorrected), eV per atom: 0.68

a b c (Å): 5.745 5.745 5.660
angles (deg): 90.00 90.00 90.00
Positions (direct):
1 Rb 0.000 0.000 0.000
2 Ti 0.500 0.500 0.500
3 P 0.000 0.000 0.500
4 Cl 0.000 0.500 0.000
5 Cl 0.500 0.000 0.000

Record 7
VASP calculation (PBE) on La2InHgIr after structural relaxation.

Output
E_tot, eV/atom: -4.975
Formation energy, kJ/mol of atoms: -60

a b c (Å): 8.146 4.332 8.431
angles (deg): 90.00 111.93 90.00
Positions (direct):
1 La 0.020 0.250 0.224
2 La 0.337 0.750 0.610
3 La 0.663 0.250 0.390
4 La 0.980 0.750 0.776
5 In 0.350 0.250 0.953
6 In 0.650 0.750 0.047
7 Hg 0.319 0.750 0.200
8 Hg 0.681 0.250 0.800
9 Ir 0.106 0.250 0.621
10 Ir 0.894 0.750 0.379

Record 8
VASP calculation (PBE) on Sr3HgAu after structural relaxation.

Output
E_tot, eV/atom: -2.276
Formation energy, kJ/mol of atoms: -53

a b c (Å): 8.674 4.743 17.817
angles (deg): 90.00 90.00 90.00
Positions (direct):
1 Sr 0.012 0.250 0.100
2 Sr 0.131 0.750 0.443
3 Sr 0.172 0.250 0.718
4 Sr 0.328 0.750 0.218
5 Sr 0.369 0.250 0.943
6 Sr 0.488 0.750 0.600
7 Sr 0.512 0.250 0.400
8 Sr 0.631 0.750 0.057
9 Sr 0.672 0.250 0.782
10 Sr 0.828 0.750 0.282
11 Sr 0.869 0.250 0.557
12 Sr 0.988 0.750 0.900
13 Hg 0.118 0.250 0.303
14 Hg 0.382 0.750 0.803
15 Hg 0.618 0.250 0.197
16 Hg 0.882 0.750 0.697
17 Au 0.239 0.750 0.043
18 Au 0.261 0.250 0.543
19 Au 0.739 0.750 0.457
20 Au 0.761 0.250 0.957

Record 9
VASP calculation (PBE) on Tb3Ho8Er after structural relaxation.

Output
E_tot, eV/atom: -3.857
Formation energy, kJ/mol of atoms: 71

a b c (Å): 9.349 9.349 9.349
angles (deg): 131.85 131.85 70.47
Positions (direct):
1 Tb 0.000 0.000 0.000
2 Tb 0.250 0.750 0.500
3 Tb 0.750 0.250 0.500
4 Ho 0.126 0.126 0.501
5 Ho 0.126 0.625 0.000
6 Ho 0.375 0.375 0.501
7 Ho 0.375 0.874 0.000
8 Ho 0.625 0.126 0.000
9 Ho 0.625 0.625 0.499
10 Ho 0.874 0.375 0.000
11 Ho 0.874 0.874 0.499
12 Er 0.500 0.500 0.000

Record 10
VASP calculation (PBE) on MnCdTcPb2 after structural relaxation.

Output
E_tot, eV/atom: -4.728
Formation energy, kJ/mol of atoms: 82

a b c (Å): 5.081 5.081 4.461
angles (deg): 90.00 90.00 90.00
Positions (direct):
1 Mn 0.000 0.000 0.000
2 Cd 0.500 0.500 0.500
3 Tc 0.000 0.000 0.500
4 Pb 0.000 0.500 0.000
5 Pb 0.500 0.000 0.000

Record 11
VASP calculation (PBE) on RbLi2PdF6 after structural relaxation.

Output
E_tot, eV/atom: -4.355
E_form (uncorrected), eV per atom: -2.23

a b c (Å): 6.961 6.961 6.203
angles (deg): 90.28 90.28 103.21
Positions (direct):
1 Rb 0.086 0.914 0.750
2 Rb 0.914 0.086 0.250
3 Li 0.254 0.442 0.653
4 Li 0.442 0.254 0.153
5 Li 0.558 0.746 0.847
6 Li 0.746 0.558 0.347
7 Pd 0.305 0.695 0.250
8 Pd 0.695 0.305 0.750
9 F 0.009 0.696 0.325
10 F 0.266 0.642 0.941
11 F 0.288 0.394 0.328
12 F 0.304 0.991 0.175
13 F 0.358 0.734 0.559
14 F 0.394 0.288 0.828
15 F 0.606 0.712 0.172
16 F 0.642 0.266 0.441
17 F 0.696 0.009 0.825
18 F 0.712 0.606 0.672
19 F 0.734 0.358 0.059
20 F 0.991 0.304 0.675

Record 12
VASP calculation (PBE) on Na3Tl3Pt2 after structural relaxation.

Output
E_tot, eV/atom: -3.075
Formation energy, kJ/mol of atoms: -18

a b c (Å): 5.961 5.961 16.061
angles (deg): 90.00 90.00 134.18
Positions (direct):
1 Na 0.065 0.935 0.608
2 Na 0.065 0.935 0.892
3 Na 0.345 0.655 0.750
4 Na 0.655 0.345 0.250
5 Na 0.935 0.065 0.108
6 Na 0.935 0.065 0.392
7 Tl 0.363 0.637 0.538
8 Tl 0.363 0.637 0.962
9 Tl 0.367 0.633 0.250
10 Tl 0.633 0.367 0.750
11 Tl 0.637 0.363 0.038
12 Tl 0.637 0.363 0.462
13 Pt 0.224 0.776 0.113
14 Pt 0.224 0.776 0.387
15 Pt 0.776 0.224 0.613
16 Pt 0.776 0.224 0.887

Number 1: calculated density 9.73 g/cm3, Fermi-level density of states 1.9 states/eV per cell. Number 2: calculated density 9.84 g/cm3, Fermi-level density of states 7.4 states/eV per cell. Number 3: calculated density 6.74 g/cm3, Fermi-level density of states 7.7 states/eV per cell. Number 4: calculated density 5.74 g/cm3, Fermi-level density of states 18.4 states/eV per cell. Number 5: calculated density 6.04 g/cm3, Fermi-level density of states 5.5 states/eV per cell. Number 6: calculated density 2.09 g/cm3, Fermi-level density of states 9.2 states/eV per cell. Number 7: calculated density 9.45 g/cm3, Fermi-level density of states 7.7 states/eV per cell. Number 8: calculated density 5.98 g/cm3, Fermi-level density of states 14.9 states/eV per cell. Number 9: calculated density 7.34 g/cm3, Fermi-level density of states 13.0 states/eV per cell. Number 10: calculated density 9.80 g/cm3, Fermi-level density of states 5.9 states/eV per cell. Number 11: calculated density 3.63 g/cm3, Fermi-level density of states 1.6 states/eV per cell. Number 12: calculated density 8.70 g/cm3, Fermi-level density of states 6.6 states/eV per cell.